The following is a DFT calculation (PBE) of a relaxed structure of Ge6Se5.

Cell and atoms, written as CIF:
```
data_Ge6Se5
_chemical_formula_sum 'Ge6 Se5'
_symmetry_space_group_name_H-M 'P 1'
_symmetry_Int_Tables_number 1
_cell_length_a 6.702
_cell_length_b 6.811
_cell_length_c 6.847
_cell_angle_alpha 80.38
_cell_angle_beta 70.13
_cell_angle_gamma 60.53
loop_
_symmetry_equiv_pos_as_xyz
'x,y,z'
loop_
_atom_site_label
_atom_site_type_symbol
_atom_site_fract_x
_atom_site_fract_y
_atom_site_fract_z
_atom_site_occupancy
Ge1 Ge 0.073 0.316 0.765 1
Ge2 Ge 0.389 0.684 0.765 1
Ge3 Ge 0.237 0.000 0.252 1
Ge4 Ge 0.763 0.000 0.748 1
Ge5 Ge 0.611 0.316 0.235 1
Ge6 Ge 0.927 0.684 0.235 1
Se1 Se 0.181 0.637 0.500 1
Se2 Se 0.663 0.674 0.000 1
Se3 Se 0.337 0.326 0.000 1
Se4 Se 0.819 0.363 0.500 1
Se5 Se 0.500 0.000 0.500 1
```

Results
V = 23.27 A^3/atom
SG = C2/m (12)
magnetic moment = 0.00 μB/f.u.
ΔE_f (raw) = -0.039 eV/atom